(1)
This record from Alexandria describes crystalline Rb3Ac3InTe8 at its relaxed geometry. The functional is GGA-PBE.

Cell: 9.500 9.500 10.389 Å, 117.26 117.26 59.93°
Element x y z (fractional)
Rb 0.000 0.000 0.000
Rb 0.000 0.500 0.000
Rb 0.500 0.000 0.000
Ac 0.000 0.500 0.500
Ac 0.500 0.000 0.500
Ac 0.500 0.500 0.500
In 0.000 0.000 0.500
Te 0.221 0.221 0.700
Te 0.221 0.758 0.700
Te 0.242 0.779 0.300
Te 0.262 0.262 0.285
Te 0.738 0.738 0.715
Te 0.758 0.221 0.700
Te 0.779 0.242 0.300
Te 0.779 0.779 0.300

Computed properties:
The uncorrected formation energy comes out at -1.135 eV per atom. As for the space-group type: C2/m.


(2)
This record from Alexandria describes crystalline Ac2InRh2 at its relaxed geometry. The functional is GGA-PBE.

Cell: 7.542 7.542 7.542 Å, 116.93 83.21 131.72°
Element x y z (fractional)
Ac 0.151 0.152 0.304
Ac 0.349 0.652 0.001
Ac 0.651 0.348 0.999
Ac 0.849 0.848 0.696
In 0.250 0.750 0.500
In 0.750 0.250 0.500
Rh 0.104 0.758 0.862
Rh 0.396 0.258 0.654
Rh 0.604 0.742 0.346
Rh 0.896 0.242 0.138

Computed properties:
As for the space-group type: Ibam. As for the formation energy: -0.569 eV per atom.


(3)
This record from Alexandria describes crystalline Ac4InRh at its relaxed geometry. The functional is GGA-PBE.

Cell: 9.418 9.418 7.440 Å, 107.44 107.44 117.23°
Element x y z (fractional)
Ac 0.061 0.646 0.856
Ac 0.197 0.280 0.723
Ac 0.280 0.197 0.223
Ac 0.354 0.939 0.644
Ac 0.646 0.061 0.356
Ac 0.720 0.803 0.777
Ac 0.803 0.720 0.277
Ac 0.939 0.354 0.144
In 0.378 0.622 0.250
In 0.622 0.378 0.750
Rh 0.073 0.927 0.750
Rh 0.927 0.073 0.250

Computed properties:
As for the space-group type: C2/c. As for the formation energy: -0.337 eV per atom.


(4)
This record from Alexandria describes crystalline AcIn6Rh3 at its relaxed geometry. The functional is GGA-PBE.

Cell: 9.525 4.482 10.623 Å, 90.00 93.20 90.00°
Element x y z (fractional)
Ac 0.109 0.250 0.249
Ac 0.891 0.750 0.751
In 0.096 0.250 0.928
In 0.124 0.750 0.500
In 0.257 0.750 0.786
In 0.362 0.250 0.543
In 0.370 0.750 0.282
In 0.428 0.250 0.076
In 0.572 0.750 0.924
In 0.630 0.250 0.718
In 0.638 0.750 0.457
In 0.743 0.250 0.214
In 0.876 0.250 0.500
In 0.904 0.750 0.072
Rh 0.120 0.250 0.663
Rh 0.239 0.750 0.041
Rh 0.489 0.750 0.663
Rh 0.511 0.250 0.337
Rh 0.761 0.250 0.959
Rh 0.880 0.750 0.337

Computed properties:
As for the space-group type: P2_1/m. As for the formation energy: -0.376 eV per atom.


(5)
This record from Alexandria describes crystalline Ac5In3Rh3 at its relaxed geometry. The functional is GGA-PBE.

Cell: 9.300 9.300 5.203 Å, 90.00 90.00 120.00°
Element x y z (fractional)
Ac 0.000 0.764 0.000
Ac 0.236 0.236 0.000
Ac 0.333 0.667 0.000
Ac 0.667 0.333 0.000
Ac 0.764 0.000 0.000
In 0.000 0.366 0.500
In 0.366 0.000 0.500
In 0.634 0.634 0.500
Rh 0.000 0.373 0.000
Rh 0.373 0.000 0.000
Rh 0.627 0.627 0.000

Computed properties:
As for the space-group type: P-62m. As for the formation energy: -0.364 eV per atom.


(6)
This record from Alexandria describes crystalline Ac8In2Rh3 at its relaxed geometry. The functional is GGA-PBE.

Cell: 9.621 9.621 5.385 Å, 90.00 90.00 111.90°
Element x y z (fractional)
Ac 0.111 0.889 0.000
Ac 0.131 0.356 0.500
Ac 0.356 0.131 0.500
Ac 0.386 0.614 0.000
Ac 0.614 0.386 0.000
Ac 0.644 0.869 0.500
Ac 0.869 0.644 0.500
Ac 0.889 0.111 0.000
In 0.255 0.745 0.500
In 0.745 0.255 0.500
Rh 0.000 0.000 0.500
Rh 0.264 0.264 0.000
Rh 0.736 0.736 0.000

Computed properties:
As for the space-group type: Cmmm. As for the formation energy: -0.335 eV per atom.


(7)
This record from Alexandria describes crystalline Ac2In2Rh3 at its relaxed geometry. The functional is GGA-PBE.

Cell: 7.354 7.354 5.635 Å, 95.36 95.36 35.20°
Element x y z (fractional)
Ac 0.138 0.138 0.117
Ac 0.862 0.862 0.883
In 0.396 0.396 0.387
In 0.604 0.604 0.613
Rh 0.227 0.227 0.627
Rh 0.500 0.500 0.000
Rh 0.773 0.773 0.373

Computed properties:
As for the space-group type: C2/m. As for the formation energy: -0.560 eV per atom.


(8)
This record from Alexandria describes crystalline Ac3InRh3 at its relaxed geometry. The functional is GGA-PBE.

Cell: 9.048 9.048 5.929 Å, 90.00 90.00 120.00°
Element x y z (fractional)
Ac 0.058 0.704 0.250
Ac 0.296 0.354 0.250
Ac 0.354 0.058 0.750
Ac 0.646 0.942 0.250
Ac 0.704 0.646 0.750
Ac 0.942 0.296 0.750
In 0.333 0.667 0.750
In 0.667 0.333 0.250
Rh 0.048 0.682 0.750
Rh 0.318 0.366 0.750
Rh 0.366 0.048 0.250
Rh 0.634 0.952 0.750
Rh 0.682 0.634 0.250
Rh 0.952 0.318 0.250

Computed properties:
As for the space-group type: P6_3/m. As for the formation energy: -0.501 eV per atom.


(9)
This record from Alexandria describes crystalline Ac5In2Rh2 at its relaxed geometry. The functional is GGA-PBE.

Cell: 9.316 9.316 9.131 Å, 90.00 90.00 48.94°
Element x y z (fractional)
Ac 0.000 0.000 0.000
Ac 0.032 0.729 0.676
Ac 0.229 0.532 0.176
Ac 0.271 0.968 0.676
Ac 0.468 0.771 0.176
Ac 0.500 0.500 0.500
Ac 0.532 0.229 0.824
Ac 0.729 0.032 0.324
Ac 0.771 0.468 0.824
Ac 0.968 0.271 0.324
In 0.213 0.213 0.000
In 0.287 0.287 0.500
In 0.713 0.713 0.500
In 0.787 0.787 0.000
Rh 0.142 0.858 0.381
Rh 0.358 0.642 0.881
Rh 0.642 0.358 0.119
Rh 0.858 0.142 0.619

Computed properties:
As for the space-group type: Cmce. As for the formation energy: -0.462 eV per atom.


(10)
This record from Alexandria describes crystalline AcInRh3 at its relaxed geometry. The functional is GGA-PBE.

Cell: 6.241 6.241 6.241 Å, 137.84 137.84 61.14°
Element x y z (fractional)
Ac 0.000 0.000 0.000
In 0.649 0.649 0.000
Rh 0.287 0.787 0.500
Rh 0.406 0.406 0.000
Rh 0.787 0.287 0.500

Computed properties:
As for the space-group type: I4mm. As for the formation energy: -0.327 eV per atom.


(11)
This record from Alexandria describes crystalline Ac7In2Rh2 at its relaxed geometry. The functional is GGA-PBE.

Cell: 9.839 9.839 9.839 Å, 152.18 69.07 118.22°
Element x y z (fractional)
Ac 0.000 0.000 0.000
Ac 0.047 0.374 0.674
Ac 0.167 0.787 0.380
Ac 0.407 0.787 0.620
Ac 0.499 0.604 0.895
Ac 0.700 0.374 0.326
Ac 0.709 0.604 0.105
In 0.313 0.082 0.231
In 0.850 0.082 0.769
Rh 0.342 0.342 0.000
Rh 0.791 0.291 0.500

Computed properties:
As for the space-group type: Imm2. As for the formation energy: -0.374 eV per atom.


(12)
This record from Alexandria describes crystalline Ac4InRh2 at its relaxed geometry. The functional is GGA-PBE.

Cell: 7.758 7.758 14.870 Å, 90.00 90.00 147.86°
Element x y z (fractional)
Ac 0.000 0.000 0.000
Ac 0.000 0.000 0.500
Ac 0.267 0.733 0.611
Ac 0.267 0.733 0.889
Ac 0.427 0.573 0.250
Ac 0.573 0.427 0.750
Ac 0.733 0.267 0.111
Ac 0.733 0.267 0.389
In 0.106 0.894 0.250
In 0.894 0.106 0.750
Rh 0.368 0.632 0.062
Rh 0.368 0.632 0.438
Rh 0.632 0.368 0.562
Rh 0.632 0.368 0.938

Computed properties:
As for the space-group type: Cmcm. As for the formation energy: -0.542 eV per atom.


(13)
This record from Alexandria describes crystalline Ac3In2Rh at its relaxed geometry. The functional is GGA-PBE.

Cell: 10.172 10.172 10.172 Å, 133.45 57.74 147.77°
Element x y z (fractional)
Ac 0.130 0.000 0.630
Ac 0.130 0.500 0.130
Ac 0.499 0.249 0.250
Ac 0.501 0.751 0.750
Ac 0.870 0.000 0.370
Ac 0.870 0.500 0.870
In 0.300 0.250 0.050
In 0.300 0.750 0.550
In 0.700 0.250 0.450
In 0.700 0.750 0.950
Rh 0.001 0.251 0.750
Rh 0.999 0.749 0.250

Computed properties:
As for the space-group type: Imma. As for the formation energy: -0.454 eV per atom.


(14)
This record from Alexandria describes crystalline Ac3In4Rh4 at its relaxed geometry. The functional is GGA-PBE.

Cell: 8.974 8.974 8.974 Å, 153.25 124.80 62.37°
Element x y z (fractional)
Ac 0.000 0.000 0.000
Ac 0.384 0.884 0.500
Ac 0.616 0.116 0.500
In 0.019 0.326 0.693
In 0.367 0.674 0.693
In 0.633 0.326 0.307
In 0.981 0.674 0.307
Rh 0.231 0.231 0.000
Rh 0.282 0.500 0.782
Rh 0.718 0.500 0.218
Rh 0.769 0.769 0.000

Computed properties:
As for the space-group type: Immm. As for the formation energy: -0.618 eV per atom.


(15)
This record from Alexandria describes crystalline Ac2InRh2 at its relaxed geometry. The functional is GGA-PBE.

Cell: 7.875 7.875 4.142 Å, 90.00 90.00 90.00°
Element x y z (fractional)
Ac 0.171 0.329 0.000
Ac 0.329 0.829 0.000
Ac 0.671 0.171 0.000
Ac 0.829 0.671 0.000
In 0.000 0.000 0.500
In 0.500 0.500 0.500
Rh 0.132 0.632 0.500
Rh 0.368 0.132 0.500
Rh 0.632 0.868 0.500
Rh 0.868 0.368 0.500

Computed properties:
As for the space-group type: P4/mbm. As for the formation energy: -0.642 eV per atom.


(16)
This record from Alexandria describes crystalline AcIn6Rh4 at its relaxed geometry. The functional is GGA-PBE.

Cell: 7.071 7.071 7.071 Å, 120.52 120.52 89.10°
Element x y z (fractional)
Ac 0.000 0.000 0.000
In 0.000 0.500 0.500
In 0.119 0.475 0.000
In 0.475 0.119 0.000
In 0.500 0.000 0.500
In 0.525 0.525 0.644
In 0.881 0.881 0.356
Rh 0.250 0.250 0.647
Rh 0.398 0.750 0.000
Rh 0.602 0.602 0.353
Rh 0.750 0.398 0.000

Computed properties:
As for the space-group type: I-42m. As for the formation energy: -0.433 eV per atom.


(17)
This record from Alexandria describes crystalline Ac3In2Rh7 at its relaxed geometry. The functional is GGA-PBE.

Cell: 9.228 9.228 9.228 Å, 36.28 36.28 36.28°
Element x y z (fractional)
Ac 0.000 0.000 0.000
Ac 0.139 0.139 0.139
Ac 0.861 0.861 0.861
In 0.334 0.334 0.334
In 0.666 0.666 0.666
Rh 0.083 0.585 0.585
Rh 0.415 0.415 0.917
Rh 0.415 0.917 0.415
Rh 0.500 0.500 0.500
Rh 0.585 0.083 0.585
Rh 0.585 0.585 0.083
Rh 0.917 0.415 0.415

Computed properties:
As for the space-group type: R-3m. As for the formation energy: -0.533 eV per atom.


(18)
This record from Alexandria describes crystalline AcIn3Rh2 at its relaxed geometry. The functional is GGA-PBE.

Cell: 8.927 8.927 8.990 Å, 120.22 120.22 27.58°
Element x y z (fractional)
Ac 0.137 0.137 0.096
Ac 0.863 0.863 0.904
In 0.028 0.028 0.368
In 0.324 0.324 0.553
In 0.365 0.365 0.231
In 0.635 0.635 0.769
In 0.676 0.676 0.447
In 0.972 0.972 0.632
Rh 0.201 0.201 0.669
Rh 0.498 0.498 0.847
Rh 0.502 0.502 0.153
Rh 0.799 0.799 0.331

Computed properties:
As for the space-group type: C2/m. As for the formation energy: -0.450 eV per atom.


(19)
This record from Alexandria describes crystalline AcIn12Rh6 at its relaxed geometry. The functional is GGA-PBE.

Cell: 7.815 7.815 7.815 Å, 105.23 105.23 105.23°
Element x y z (fractional)
Ac 0.000 0.000 0.000
In 0.119 0.500 0.881
In 0.119 0.881 0.500
In 0.154 0.417 0.417
In 0.417 0.154 0.417
In 0.417 0.417 0.154
In 0.500 0.119 0.881
In 0.500 0.881 0.119
In 0.583 0.583 0.846
In 0.583 0.846 0.583
In 0.846 0.583 0.583
In 0.881 0.119 0.500
In 0.881 0.500 0.119
Rh 0.268 0.268 0.694
Rh 0.268 0.694 0.268
Rh 0.306 0.732 0.732
Rh 0.694 0.268 0.268
Rh 0.732 0.306 0.732
Rh 0.732 0.732 0.306

Computed properties:
As for the space-group type: R-3m. As for the formation energy: -0.327 eV per atom.